# CsPb (PBE-GGA, relaxed)
# - DFT total energy (Ry/atom) = -0.16702
# - energy above the most stable polymorph in this dataset (eV/atom) = 0.2642
# - SG = No. 136
# - calculated density (g/cm³) = 4.3
# - ΔE_f (eV per atom) = 0.01
data_CsPb
_cell_length_a 8.092
_cell_length_b 8.092
_cell_length_c 7.976
_cell_angle_alpha 90.00
_cell_angle_beta 90.00
_cell_angle_gamma 90.00
_space_group_name_H-M_alt 'P 1'
_space_group_IT_number 1
loop_
_space_group_symop_operation_xyz
'x,y,z'
loop_
_atom_site_label
_atom_site_type_symbol
_atom_site_fract_x
_atom_site_fract_y
_atom_site_fract_z
Cs1 Cs 0.173 0.827 0.000
Cs2 Cs 0.673 0.673 0.500
Cs3 Cs 0.327 0.327 0.500
Cs4 Cs 0.827 0.173 0.000
Pb1 Pb 0.378 0.378 0.000
Pb2 Pb 0.878 0.122 0.500
Pb3 Pb 0.122 0.878 0.500
Pb4 Pb 0.622 0.622 0.000



# CsPb12 (PBE-GGA, relaxed)
# - DFT total energy (Ry/atom) = -0.25878
# - energy above the most stable polymorph in this dataset (eV/atom) = 0.0000
# - DOS(E_F) (states/eV/f.u.) = 5.868
# - SG = No. 139
# - calculated density (g/cm³) = 9.7
# - ΔE_f (eV per atom) = -0.03
data_CsPb12
_cell_length_a 6.640
_cell_length_b 8.877
_cell_length_c 8.877
_cell_angle_alpha 81.96
_cell_angle_beta 68.04
_cell_angle_gamma 68.04
_space_group_name_H-M_alt 'P 1'
_space_group_IT_number 1
loop_
_space_group_symop_operation_xyz
'x,y,z'
loop_
_atom_site_label
_atom_site_type_symbol
_atom_site_fract_x
_atom_site_fract_y
_atom_site_fract_z
Cs1 Cs 0.000 0.000 0.000
Pb1 Pb 0.500 0.000 0.500
Pb2 Pb 0.000 0.000 0.500
Pb3 Pb 0.500 0.500 0.000
Pb4 Pb 0.000 0.500 0.000
Pb5 Pb 0.000 0.644 0.356
Pb6 Pb 0.000 0.356 0.644
Pb7 Pb 0.644 0.356 0.356
Pb8 Pb 0.356 0.644 0.644
Pb9 Pb 0.500 0.224 0.776
Pb10 Pb 0.500 0.776 0.224
Pb11 Pb 0.724 0.776 0.776
Pb12 Pb 0.276 0.224 0.224



# CsPb (PBE-GGA, relaxed)
# - DFT total energy (Ry/atom) = -0.18027
# - energy above the most stable polymorph in this dataset (eV/atom) = 0.0839
# - DOS(E_F) (states/eV/f.u.) = 1.195
# - SG = No. 74
# - calculated density (g/cm³) = 5.8
# - ΔE_f (eV per atom) = -0.17
data_CsPb
_cell_length_a 4.844
_cell_length_b 7.294
_cell_length_c 6.722
_cell_angle_alpha 117.43
_cell_angle_beta 90.00
_cell_angle_gamma 109.41
_space_group_name_H-M_alt 'P 1'
_space_group_IT_number 1
loop_
_space_group_symop_operation_xyz
'x,y,z'
loop_
_atom_site_label
_atom_site_type_symbol
_atom_site_fract_x
_atom_site_fract_y
_atom_site_fract_z
Pb1 Pb 0.906 0.789 0.626
Pb2 Pb 0.253 0.483 0.474
Cs1 Cs 0.672 0.321 0.892
Cs2 Cs 0.487 0.951 0.207



# CsPb (PBE-GGA, relaxed)
# - DFT total energy (Ry/atom) = -0.16571
# - energy above the most stable polymorph in this dataset (eV/atom) = 0.2820
# - DOS(E_F) (states/eV/f.u.) = 1.508
# - SG = No. 87
# - calculated density (g/cm³) = 5.5
# - ΔE_f (eV per atom) = 0.03
data_CsPb
_cell_length_a 14.232
_cell_length_b 14.232
_cell_length_c 4.041
_cell_angle_alpha 90.00
_cell_angle_beta 90.00
_cell_angle_gamma 90.00
_space_group_name_H-M_alt 'P 1'
_space_group_IT_number 1
loop_
_space_group_symop_operation_xyz
'x,y,z'
loop_
_atom_site_label
_atom_site_type_symbol
_atom_site_fract_x
_atom_site_fract_y
_atom_site_fract_z
Cs1 Cs 0.367 0.830 0.000
Cs2 Cs 0.633 0.170 0.000
Cs3 Cs 0.170 0.367 0.000
Cs4 Cs 0.830 0.633 0.000
Cs5 Cs 0.867 0.330 0.500
Cs6 Cs 0.133 0.670 0.500
Cs7 Cs 0.670 0.867 0.500
Cs8 Cs 0.330 0.133 0.500
Pb1 Pb 0.438 0.360 0.000
Pb2 Pb 0.562 0.640 0.000
Pb3 Pb 0.640 0.438 0.000
Pb4 Pb 0.360 0.562 0.000
Pb5 Pb 0.938 0.860 0.500
Pb6 Pb 0.062 0.140 0.500
Pb7 Pb 0.140 0.938 0.500
Pb8 Pb 0.860 0.062 0.500



# Cs3Pb11 (PBE-GGA, relaxed)
# - DFT total energy (Ry/atom) = -0.23453
# - DOS(E_F) (states/eV/f.u.) = 6.678
# - SG = No. 71
# - calculated density (g/cm³) = 8.5
# - ΔE_f (eV per atom) = -0.09
data_Cs3Pb11
_cell_length_a 5.514
_cell_length_b 10.185
_cell_length_c 10.185
_cell_angle_alpha 77.58
_cell_angle_beta 74.30
_cell_angle_gamma 74.30
_space_group_name_H-M_alt 'P 1'
_space_group_IT_number 1
loop_
_space_group_symop_operation_xyz
'x,y,z'
loop_
_atom_site_label
_atom_site_type_symbol
_atom_site_fract_x
_atom_site_fract_y
_atom_site_fract_z
Cs1 Cs 0.000 0.000 0.000
Cs2 Cs 0.713 0.287 0.287
Cs3 Cs 0.287 0.713 0.713
Pb1 Pb 0.000 0.500 0.500
Pb2 Pb 0.500 0.333 0.667
Pb3 Pb 0.500 0.667 0.333
Pb4 Pb 0.640 0.003 0.718
Pb5 Pb 0.360 0.997 0.282
Pb6 Pb 0.640 0.718 0.003
Pb7 Pb 0.360 0.282 0.997
Pb8 Pb 0.851 0.869 0.429
Pb9 Pb 0.149 0.131 0.571
Pb10 Pb 0.851 0.429 0.869
Pb11 Pb 0.149 0.571 0.131



# Cs3Pb5 (PBE-GGA, relaxed)
# - DFT total energy (Ry/atom) = -0.20248
# - DOS(E_F) (states/eV/f.u.) = 4.972
# - SG = No. 12
# - calculated density (g/cm³) = 6.4
# - ΔE_f (eV per atom) = -0.12
data_Cs3Pb5
_cell_length_a 8.160
_cell_length_b 9.568
_cell_length_c 10.421
_cell_angle_alpha 87.32
_cell_angle_beta 66.95
_cell_angle_gamma 83.15
_space_group_name_H-M_alt 'P 1'
_space_group_IT_number 1
loop_
_space_group_symop_operation_xyz
'x,y,z'
loop_
_atom_site_label
_atom_site_type_symbol
_atom_site_fract_x
_atom_site_fract_y
_atom_site_fract_z
Cs1 Cs 0.224 0.000 0.052
Cs2 Cs 0.776 0.000 0.948
Cs3 Cs 0.880 0.180 0.500
Cs4 Cs 0.121 0.819 0.500
Cs5 Cs 0.831 0.500 0.839
Cs6 Cs 0.170 0.500 0.161
Pb1 Pb 0.668 0.573 0.500
Pb2 Pb 0.333 0.427 0.500
Pb3 Pb 0.285 0.661 0.767
Pb4 Pb 0.716 0.338 0.233
Pb5 Pb 0.431 0.117 0.327
Pb6 Pb 0.569 0.882 0.673
Pb7 Pb 0.449 0.338 0.767
Pb8 Pb 0.552 0.661 0.233
Pb9 Pb 0.742 0.882 0.327
Pb10 Pb 0.259 0.117 0.673



# CsPb (PBE-GGA, relaxed)
# - DFT total energy (Ry/atom) = -0.17766
# - energy above the most stable polymorph in this dataset (eV/atom) = 0.1195
# - DOS(E_F) (states/eV/f.u.) = 0.410
# - SG = No. 62
# - calculated density (g/cm³) = 5.2
# - ΔE_f (eV per atom) = -0.14
data_CsPb
_cell_length_a 9.876
_cell_length_b 7.039
_cell_length_c 12.409
_cell_angle_alpha 90.00
_cell_angle_beta 90.00
_cell_angle_gamma 90.00
_space_group_name_H-M_alt 'P 1'
_space_group_IT_number 1
loop_
_space_group_symop_operation_xyz
'x,y,z'
loop_
_atom_site_label
_atom_site_type_symbol
_atom_site_fract_x
_atom_site_fract_y
_atom_site_fract_z
Cs1 Cs 0.279 0.250 0.018
Cs2 Cs 0.779 0.250 0.482
Cs3 Cs 0.721 0.750 0.982
Cs4 Cs 0.221 0.750 0.518
Cs5 Cs 0.853 0.250 0.831
Cs6 Cs 0.353 0.250 0.669
Cs7 Cs 0.147 0.750 0.169
Cs8 Cs 0.647 0.750 0.331
Pb1 Pb 0.125 0.250 0.350
Pb2 Pb 0.625 0.250 0.150
Pb3 Pb 0.875 0.750 0.650
Pb4 Pb 0.375 0.750 0.850
Pb5 Pb 0.921 0.250 0.157
Pb6 Pb 0.421 0.250 0.343
Pb7 Pb 0.079 0.750 0.843
Pb8 Pb 0.579 0.750 0.657



# CsPb (PBE-GGA, relaxed)
# - DFT total energy (Ry/atom) = -0.17886
# - energy above the most stable polymorph in this dataset (eV/atom) = 0.1030
# - DOS(E_F) (states/eV/f.u.) = 0.810
# - SG = No. 194
# - calculated density (g/cm³) = 5.2
# - ΔE_f (eV per atom) = -0.15
data_CsPb
_cell_length_a 10.714
_cell_length_b 10.714
_cell_length_c 6.619
_cell_angle_alpha 90.00
_cell_angle_beta 90.00
_cell_angle_gamma 120.00
_space_group_name_H-M_alt 'P 1'
_space_group_IT_number 1
loop_
_space_group_symop_operation_xyz
'x,y,z'
loop_
_atom_site_label
_atom_site_type_symbol
_atom_site_fract_x
_atom_site_fract_y
_atom_site_fract_z
Cs1 Cs 0.184 0.368 0.250
Cs2 Cs 0.816 0.184 0.750
Cs3 Cs 0.632 0.816 0.250
Cs4 Cs 0.816 0.632 0.750
Cs5 Cs 0.184 0.816 0.250
Cs6 Cs 0.368 0.184 0.750
Pb1 Pb 0.570 0.140 0.250
Pb2 Pb 0.430 0.570 0.750
Pb3 Pb 0.860 0.430 0.250
Pb4 Pb 0.430 0.860 0.750
Pb5 Pb 0.570 0.430 0.250
Pb6 Pb 0.140 0.570 0.750



# CsPb (PBE-GGA, relaxed)
# - DFT total energy (Ry/atom) = -0.18644
# - energy above the most stable polymorph in this dataset (eV/atom) = 0.0000
# - SG = No. 142
# - calculated density (g/cm³) = 5.7
# - ΔE_f (eV per atom) = -0.26
data_CsPb
_cell_length_a 12.503
_cell_length_b 12.503
_cell_length_c 13.507
_cell_angle_alpha 117.57
_cell_angle_beta 117.57
_cell_angle_gamma 90.00
_space_group_name_H-M_alt 'P 1'
_space_group_IT_number 1
loop_
_space_group_symop_operation_xyz
'x,y,z'
loop_
_atom_site_label
_atom_site_type_symbol
_atom_site_fract_x
_atom_site_fract_y
_atom_site_fract_z
Cs1 Cs 0.375 0.486 0.250
Cs2 Cs 0.870 0.630 0.500
Cs3 Cs 0.130 0.130 0.500
Cs4 Cs 0.875 0.264 0.250
Cs5 Cs 0.370 0.370 0.500
Cs6 Cs 0.630 0.870 0.500
Cs7 Cs 0.736 0.625 0.750
Cs8 Cs 0.875 0.764 0.250
Cs9 Cs 0.620 0.880 0.000
Cs10 Cs 0.375 0.986 0.250
Cs11 Cs 0.014 0.125 0.750
Cs12 Cs 0.380 0.120 0.000
Cs13 Cs 0.514 0.125 0.750
Cs14 Cs 0.880 0.380 0.000
Cs15 Cs 0.120 0.620 0.000
Cs16 Cs 0.236 0.625 0.750
Pb1 Pb 0.195 0.865 0.610
Pb2 Pb 0.555 0.505 0.890
Pb3 Pb 0.755 0.085 0.390
Pb4 Pb 0.695 0.245 0.610
Pb5 Pb 0.255 0.805 0.390
Pb6 Pb 0.495 0.665 0.110
Pb7 Pb 0.615 0.445 0.110
Pb8 Pb 0.135 0.585 0.390
Pb9 Pb 0.115 0.165 0.110
Pb10 Pb 0.055 0.885 0.890
Pb11 Pb 0.335 0.385 0.890
Pb12 Pb 0.635 0.305 0.390
Pb13 Pb 0.915 0.365 0.610
Pb14 Pb 0.415 0.745 0.610
Pb15 Pb 0.995 0.945 0.110
Pb16 Pb 0.835 0.005 0.890